## Sc2BeAl (PBE)

Data for crystalline Sc2BeAl at its relaxed geometry.

a = 4.1170 Å, b = 3.3537 Å, c = 10.7358 Å
α = 90.00°, β = 90.00°, γ = 90.00°
Last column: nearest neighbours and their distance in Å.
Space group Amm2 (No. 38)
Asymmetric unit:
1 Sc 0.0000 0.0000 0.0000  4 Al 2.86, 3 Be 2.94-2.95
2 Sc 0.5000 0.0000 0.3171  4 Be 2.83, 3 Al 2.88-3.03
3 Be 0.0000 0.0000 0.7250  2 Al 2.46
4 Al 0.5000 0.0000 0.5993  2 Be 2.46

Output
raw total energy: -5.232 eV/atom
calculated density: 2.82 g/cm3
M_tot: 0.2 μB per cell
density of states at the Fermi level: 6.4 states/eV per cell

## ScBe2Al2 (PBE)

Data for crystalline ScBe2Al2 at its relaxed geometry.

a = 7.0256 Å, b = 7.0256 Å, c = 2.9148 Å
α = 90.00°, β = 90.00°, γ = 90.00°
Last column: nearest neighbours and their distance in Å.
Space group P4/mbm (No. 127)
Asymmetric unit:
1 Sc 0.0000 0.0000 0.0000  4 Be 2.83, 2 Sc 2.91, 8 Al 2.97
2 Be 0.1139 0.3861 0.0000  1 Be 2.26
3 Al 0.1762 0.6762 0.5000  6 Be 2.54

Output
raw total energy: -4.266 eV/atom
calculated density: 2.70 g/cm3
M_tot: 0.6 μB per cell
density of states at the Fermi level: 5.3 states/eV per cell

## Sc2BeAl (PBE)

Data for crystalline Sc2BeAl at its relaxed geometry.

a = 3.0916 Å, b = 4.2215 Å, c = 5.7393 Å
α = 90.00°, β = 90.00°, γ = 90.00°
Last column: nearest neighbours and their distance in Å.
Space group Pmm2 (No. 25)
Asymmetric unit:
1 Sc 0.0000 0.0000 0.0000  2 Al 2.78-2.96, 4 Be 2.87, 2 Sc 3.09
2 Sc 0.5000 0.5000 0.2976  2 Be 2.85-2.89, 4 Al 2.90, 6 Sc 3.09-3.12
3 Be 0.5000 0.5000 0.7939  6 Sc 2.85-2.89, 4 Al 3.07, 2 Be 3.09
4 Al 0.0000 0.0000 0.5152  6 Sc 2.78-2.96, 4 Be 3.07, 2 Al 3.09

Output
raw total energy: -4.933 eV/atom
calculated density: 2.79 g/cm3
M_tot: 0.0 μB per cell
density of states at the Fermi level: 3.0 states/eV per cell

## Sc11Be4Al9 (PBE)

Data for crystalline Sc11Be4Al9 at its relaxed geometry.

a = 13.1831 Å, b = 19.8877 Å, c = 3.2913 Å
α = 90.00°, β = 90.00°, γ = 90.00°
Last column: nearest neighbours and their distance in Å.
Space group Cmmm (No. 65)
Asymmetric unit:
1 Sc 0.0000 0.0000 0.0000  8 Al 2.94, 2 Sc 3.22
2 Sc 0.0000 0.1621 0.0000  8 Al 3.03-3.15, 5 Sc 3.10-3.29
3 Sc 0.0000 0.3749 0.0000  4 Be 2.67, 2 Al 2.98
4 Sc 0.1882 0.5000 0.0000  4 Be 2.66, 2 Al 2.98
5 Sc 0.2340 0.1753 0.0000  2 Be 2.62, 4 Al 2.87-2.91
6 Be 0.1560 0.3972 0.5000  6 Sc 2.62-2.67, 3 Al 2.63-2.90
7 Al 0.0000 0.5000 0.5000  4 Be 2.90, 8 Sc 2.98
8 Al 0.1039 0.2698 0.5000  1 Be 2.63, 1 Al 2.74, 2 Sc 2.91
9 Al 0.1504 0.0708 0.5000  1 Be 2.63, 1 Al 2.82, 4 Sc 2.87-2.94

Output
raw total energy: -5.285 eV/atom
calculated density: 2.98 g/cm3
M_tot: 0.0 μB per cell
density of states at the Fermi level: 29.8 states/eV per cell

## ScBe2Al2 (PBE)

Data for crystalline ScBe2Al2 at its relaxed geometry.

a = 3.8258 Å, b = 3.8258 Å, c = 10.2843 Å
α = 90.00°, β = 90.00°, γ = 90.00°
Last column: nearest neighbours and their distance in Å.
Space group I4/mmm (No. 139)
Asymmetric unit:
1 Sc 0.0000 0.0000 0.0000  8 Al 2.98, 8 Be 3.20
2 Be 0.0000 0.5000 0.2500  4 Al 2.33
3 Al 0.0000 0.0000 0.3796  4 Be 2.33, 1 Al 2.48

Output
raw total energy: -4.343 eV/atom
calculated density: 2.58 g/cm3
M_tot: 0.0 μB per cell
density of states at the Fermi level: 2.2 states/eV per cell

## Sc2BeAl (PBE)

Data for crystalline Sc2BeAl at its relaxed geometry.

a = 4.0780 Å, b = 4.0780 Å, c = 16.0693 Å
α = 90.00°, β = 90.00°, γ = 120.00°
Last column: nearest neighbours and their distance in Å.
Space group R3m (No. 160, hexagonal axes)
Asymmetric unit:
1 Sc 0.0000 0.0000 0.0000  3 Al 2.81, 3 Be 3.05
2 Sc 0.0000 0.0000 0.2018  3 Be 2.69, 3 Al 2.91
3 Be 0.0000 0.0000 0.7872  3 Al 2.39
4 Al 0.0000 0.0000 0.4282  3 Be 2.39

Output
raw total energy: -5.130 eV/atom
calculated density: 2.71 g/cm3
M_tot: 0.0 μB per cell
density of states at the Fermi level: 11.1 states/eV per cell

Which of these has the lowest calculated density?
number 5

Number 2 is which compound?
ScBe2Al2

The lowest raw total energy belongs to which entry?
Sc11Be4Al9

Look up the M_tot of the third one.
0.0 μB per cell